# 1
4
Lattice="2.8629 0.0000 0.0000 0.0000 5.2923 0.0150 0.0000 3.3182 4.7831" Properties=species:S:1:pos:R:3 comment="PBE Cd2TcAu, relaxed" ef_mev_per_atom=261 pbc="T T T"
Cd 1.4315 2.6462 0.0075
Cd 0.0000 0.0000 0.0000
Au 0.0000 1.6591 2.3916
Tc 1.4315 4.3053 2.3991

=====

# 2
14
Lattice="9.2324 0.3116 2.3112 -0.4668 8.7039 -1.2694 -2.4549 -5.6172 5.9675" Properties=species:S:1:pos:R:3 comment="PBE CaPr4Tl2, relaxed" ef_mev_per_atom=-105 pbc="T T T"
Pr 3.3374 4.9535 0.4267
Pr 0.5985 -3.5538 4.5870
Pr 2.6466 -0.9921 3.2628
Pr 2.1815 2.9825 5.1444
Pr 7.4068 1.1422 2.6798
Pr 4.8430 0.7925 5.1550
Pr 8.6759 4.8984 2.0027
Pr 5.8804 4.5607 4.1944
Ca -1.4154 1.9432 4.3675
Ca 1.0904 2.0202 1.6921
Tl -0.7988 -1.0678 2.9340
Tl 4.0898 2.3174 2.4294
Tl 5.5587 6.8738 1.9505
Tl 3.7319 -2.3726 6.1500

=====

# 3
4
Lattice="3.9843 -0.0171 0.0000 0.0265 3.9841 0.0000 0.0000 0.0000 2.7596" Properties=species:S:1:pos:R:3 comment="PBE Be2FeAg, relaxed" ef_mev_per_atom=118 pbc="T T T"
Be 2.0054 1.9835 0.0000
Be 0.0000 0.0000 0.0000
Fe 1.9921 -0.0086 1.3798
Ag 0.0132 1.9920 1.3798

=====

# 4
11
Lattice="-0.2978 -5.9578 -2.3445 3.5804 -2.8688 6.7674 -6.5521 -1.5275 4.6458" Properties=species:S:1:pos:R:3 comment="PBE Rb2WCl8, relaxed" formation_energy_uncorrected_kj_per_mol_fu=-1240 pbc="T T T"
W 0.0000 0.0000 0.0000
Cl -4.9117 -6.3964 1.6785
Cl -2.0983 -7.2300 5.4501
Cl -5.3554 -3.0313 5.9250
Cl -0.4976 -4.5595 -0.5061
Cl -1.1712 -3.1241 3.6186
Cl 2.0859 -7.3228 3.1437
Cl 1.6422 -3.9576 7.3902
Cl -2.7719 -5.7945 9.5748
Rb -1.3460 -6.1408 2.5460
Rb -1.9235 -4.2133 6.5227

=====

# 5
11
Lattice="-1.0771 -4.1453 3.5264 5.9627 -2.7715 -1.0559 3.3607 2.6325 2.1246" Properties=species:S:1:pos:R:3 comment="PBE Li2V2Pd7, relaxed" ef_mev_per_atom=-215 pbc="T T T"
Pd 4.8688 -0.0047 2.4752
Pd 2.7153 0.3691 0.6349
Pd 3.3776 -4.2797 2.1199
Pd 5.5310 -4.6534 3.9602
Pd 2.4697 -1.5124 2.6927
Pd 0.0000 0.0000 0.0000
Pd 5.7766 -2.7719 1.9023
V 4.0210 -1.7453 0.5594
V 4.2253 -2.5390 4.0356
Li 8.0391 -1.8616 2.0635
Li 0.2072 -2.4227 2.5315

=====

# 6
4
Lattice="4.4351 0.0000 0.0000 2.2176 3.8409 0.0000 2.2176 1.2803 3.6213" Properties=species:S:1:pos:R:3 comment="PBE Mo2RuPt, relaxed" ef_mev_per_atom=140 pbc="T T T"
Ru 2.2176 1.2803 0.9053
Mo 6.6527 3.8409 2.7159
Mo 0.0000 0.0000 0.0000
Pt 4.4351 2.5606 1.8106

=====

In order of appearance, total DFT energy (no corrections) = -3.607, -3.798, -4.574, -3.865, -5.525, -9.104 eV/atom.